Entry 1:
Compound: Tl2FeCl
Source: Alexandria
Functional: GGA-PBEsol
Structure: relaxed

## Properties
- ΔE_f (raw) (eV/atom) = 0.09
- energy relative to the lowest polymorph listed for this composition (eV per atom) = 0.000
- space group = No. 44

Cell: 3.140 5.383 10.304 Å, 90.00 90.00 90.00°
Fractional positions:
Tl 0.000 0.000 0.000
Tl 0.000 0.500 0.207
Tl 0.500 0.000 0.707
Tl 0.500 0.500 0.500
Fe 0.000 0.500 0.730
Fe 0.500 0.000 0.230
Cl 0.000 0.000 0.397
Cl 0.500 0.500 0.897


Entry 2:
Compound: TlFeCl2
Source: Alexandria
Functional: GGA-PBEsol
Structure: relaxed

## Properties
- ΔE_f (raw) (eV/atom) = -0.38
- energy relative to the lowest polymorph listed for this composition (eV per atom) = 0.006
- space group = No. 71

Cell: 3.278 5.816 9.376 Å, 90.00 90.00 90.00°
Fractional positions:
Tl 0.000 0.000 0.000
Tl 0.500 0.500 0.500
Fe 0.000 0.000 0.500
Fe 0.500 0.500 0.000
Cl 0.000 0.500 0.177
Cl 0.000 0.500 0.823
Cl 0.500 0.000 0.323
Cl 0.500 0.000 0.677


Number 1: E_tot -3.9718 eV per atom. Number 2: E_tot -4.2792 eV per atom.